Entry from the Alexandria database: a geometry-optimized TbY2Os structure (PBE).

Values from the calculation:
Total magnetic moment   0.3 Bohr magnetons per cell
Calculated total energy   -6.892 eV per atom

Unit cell a=11.0930 b=11.0930 c=11.0930 alpha=17.87 beta=17.87 gamma=17.87
Last column: nearest neighbours and their distance in Å.
Positions (direct):
1 Tb 0.0000 0.0000 0.0000  6 Tb 3.45, 2 Y 3.45
2 Y 0.1053 0.1053 0.1053  3 Os 2.83
3 Y 0.8947 0.8947 0.8947  3 Os 2.83
4 Os 0.5000 0.5000 0.5000  6 Y 2.83